No. 1
VASP calculation (GGA-PBE) on Nb4V2B after structural relaxation.

Values from the calculation:
As for the space-group type: I4/mmm, No. 139. The calculation puts the energy relative to the elements at 0.46 eV/atom. As for the magnetic moment: 0.00 μB/atom. The calculation puts the total energy at -8.852 eV per atom.

The structure in POSCAR format:
```
Nb4V2B
1.0
-2.181 2.181 6.236
2.181 -2.181 6.236
2.181 2.181 -6.236
Nb V B
4 2 1
Direct
0.000 0.500 0.500
0.182 0.182 0.000
0.500 0.000 0.500
0.818 0.818 0.000
0.377 0.377 0.000
0.623 0.623 0.000
0.000 0.000 0.000
```

No. 2
VASP calculation (GGA-PBE) on BaTi3Se after structural relaxation.

Values from the calculation:
As for the space-group type: Pm-3m, No. 221. As for the magnetic moment: 0.00 μB/atom. The energy above the lowest structure with this stoichiometry is 0.000 eV/atom. The calculation puts the formation energy (no corrections) at 0.2195 eV/atom. The calculation puts the total energy at -5.599 eV per atom.

The structure in POSCAR format:
```
BaTi3Se
1.0
4.944 0.000 0.000
0.000 4.944 0.000
0.000 0.000 4.944
Ba Ti Se
1 3 1
Direct
0.000 0.000 0.000
0.000 0.500 0.500
0.500 0.000 0.500
0.500 0.500 0.000
0.500 0.500 0.500
```